[1]
Material: TaCrCo
Method: DFT, GGA-PBEsol
State: optimized geometry

Summary:
Crystal system: orthorhombic
E_form: -0.62 eV per formula unit
Relative energy among the computed polymorphs: 0.000 eV per atom
M_tot: 0.00 μB per formula unit

The structure in POSCAR format:
```
TaCrCo
1.0
-2.795 -2.222 -3.076
4.057 -2.009 1.310
-3.711 -3.599 5.972
Co Cr Ta
4 4 4
direct
0.000 0.000 0.256
0.000 0.000 0.744
0.839 0.654 0.500
0.346 0.161 0.500
0.836 0.164 0.500
0.657 0.833 0.000
0.167 0.343 0.000
0.170 0.830 0.000
0.330 0.670 0.317
0.330 0.670 0.683
0.663 0.337 0.190
0.663 0.337 0.810
```


[2]
Material: Ta2CrCo
Method: DFT, GGA-PBEsol
State: optimized geometry

Summary:
Crystal system: trigonal
E_form: 1.51 eV per formula unit
M_tot: 0.44 μB per formula unit

The structure in POSCAR format:
```
Ta2CrCo
1.0
-0.062 -2.335 -1.459
2.332 -1.043 -1.030
1.950 -5.800 6.602
Ta Cr Co
2 1 1
direct
0.994 0.994 0.018
0.759 0.759 0.724
0.240 0.240 0.280
0.507 0.507 0.478
```


[3]
Material: TaCrCo
Method: DFT, GGA-PBEsol
State: optimized geometry

Summary:
Crystal system: cubic
E_form: 2.57 eV per formula unit
Relative energy among the computed polymorphs: 1.062 eV per atom
M_tot: 0.00 μB per formula unit

The structure in POSCAR format:
```
TaCrCo
1.0
-2.887 2.670 -0.581
-3.801 -1.038 0.525
-2.040 1.427 3.099
Cr Ta Co
1 1 1
direct
0.250 0.250 0.250
0.000 0.000 0.000
0.500 0.500 0.500
```


no.,mass density (g/cm³)
1,12.7
2,13.5
3,10.9